{"formula": "Li4Al2AgAu", "functional": "PBE", "state": "relaxed", "lattice": [[-3.4110, -2.3605, -1.4497], [2.0734, -0.6507, -3.8191], [2.5908, -5.1461, 2.2833]], "species": ["Ag", "Al", "Al", "Au", "Li", "Li", "Li", "Li"], "fractional_positions": [[0.0000, 0.0000, 0.0000], [0.5000, 0.0000, 0.2574], [0.0000, 0.5000, 0.7426], [0.5000, 0.5000, 0.5000], [0.5000, 0.5000, 0.0000], [0.0000, 0.5000, 0.2515], [0.0000, 0.0000, 0.5000], [0.5000, 0.0000, 0.7485]], "final_energy_ev_per_atom": -3.030, "space_group": "P-4m2 (115)", "volume_a3_per_atom": 14.96}

=====

{"formula": "Li2MgAlAg2Au2", "functional": "PBE", "state": "relaxed", "lattice": [[-0.4346, 2.9379, 3.4173], [-4.3466, 0.6334, -1.0972], [-1.6732, -4.7608, 3.8801]], "species": ["Ag", "Ag", "Al", "Au", "Au", "Li", "Li", "Mg"], "fractional_positions": [[0.0000, 0.5000, 0.2424], [0.5000, 0.0000, 0.7576], [0.0000, 0.0000, 0.0000], [0.5000, 0.0000, 0.2385], [0.0000, 0.5000, 0.7615], [0.5000, 0.5000, 0.0000], [0.0000, 0.0000, 0.5000], [0.5000, 0.5000, 0.5000]], "final_energy_ev_per_atom": -3.094, "space_group": "P-4m2 (115)", "volume_a3_per_atom": 16.31}

=====

{"formula": "Li2Mg2Al2AgAu", "functional": "PBE", "state": "relaxed", "lattice": [[-1.6004, 2.6818, -3.2811], [-1.4994, -3.6388, -2.2428], [-5.5784, 0.4133, 3.0588]], "species": ["Ag", "Al", "Al", "Au", "Li", "Li", "Mg", "Mg"], "fractional_positions": [[0.5000, 0.5000, 0.5000], [0.0000, 0.5000, 0.2468], [0.5000, 0.0000, 0.7532], [0.0000, 0.0000, 0.0000], [0.5000, 0.5000, 0.0000], [0.0000, 0.0000, 0.5000], [0.5000, 0.0000, 0.2483], [0.0000, 0.5000, 0.7517]], "final_energy_ev_per_atom": -2.918, "space_group": "P-4m2 (115)", "volume_a3_per_atom": 16.35}

=====

{"formula": "Li2MgAl2Ag2Au", "functional": "PBE", "state": "relaxed", "lattice": [[4.5411, 0.0000, 0.0000], [0.0000, 4.5411, 0.0000], [0.0000, 0.0000, 6.3831]], "species": ["Ag", "Ag", "Al", "Al", "Au", "Li", "Li", "Mg"], "fractional_positions": [[0.0000, 0.5000, 0.2635], [0.5000, 0.0000, 0.7365], [0.5000, 0.5000, 0.0000], [0.0000, 0.0000, 0.5000], [0.0000, 0.0000, 0.0000], [0.5000, 0.0000, 0.2319], [0.0000, 0.5000, 0.7681], [0.5000, 0.5000, 0.5000]], "final_energy_ev_per_atom": -2.960, "space_group": "P-4m2 (115)", "volume_a3_per_atom": 16.45}

=====

{"formula": "Li2Mg2AlAg2Au", "functional": "PBE", "state": "relaxed", "lattice": [[4.5585, 0.0000, 0.0000], [0.0000, 4.5585, 0.0000], [0.0000, 0.0000, 6.5010]], "species": ["Ag", "Ag", "Al", "Au", "Li", "Li", "Mg", "Mg"], "fractional_positions": [[0.0000, 0.5000, 0.2292], [0.5000, 0.0000, 0.7708], [0.0000, 0.0000, 0.0000], [0.5000, 0.5000, 0.5000], [0.5000, 0.0000, 0.2568], [0.0000, 0.5000, 0.7432], [0.5000, 0.5000, 0.0000], [0.0000, 0.0000, 0.5000]], "final_energy_ev_per_atom": -2.744, "space_group": "P-4m2 (115)", "volume_a3_per_atom": 16.89}

=====

{"formula": "Li2Mg2AlAgAu2", "functional": "PBE", "state": "relaxed", "lattice": [[-3.3128, -2.4087, -1.9721], [1.7276, -3.8182, 1.7614], [-3.6819, 0.7594, 5.2574]], "species": ["Ag", "Al", "Au", "Au", "Li", "Li", "Mg", "Mg"], "fractional_positions": [[0.5000, 0.5000, 0.5000], [0.0000, 0.0000, 0.0000], [0.0000, 0.5000, 0.2253], [0.5000, 0.0000, 0.7747], [0.5000, 0.0000, 0.2541], [0.0000, 0.5000, 0.7459], [0.5000, 0.5000, 0.0000], [0.0000, 0.0000, 0.5000]], "final_energy_ev_per_atom": -2.955, "space_group": "P-4m2 (115)", "volume_a3_per_atom": 16.70}

=====

{"formula": "Li2ScAl2AgAu2", "functional": "PBE", "state": "relaxed", "lattice": [[-0.1814, -3.9027, 2.3673], [4.2051, -1.0645, -1.4327], [2.4759, 2.9592, 5.0681]], "species": ["Ag", "Al", "Al", "Au", "Au", "Li", "Li", "Sc"], "fractional_positions": [[0.0000, 0.0000, 0.0000], [0.5000, 0.5000, 0.0000], [0.0000, 0.0000, 0.5000], [0.5000, 0.0000, 0.2648], [0.0000, 0.5000, 0.7352], [0.0000, 0.5000, 0.2190], [0.5000, 0.0000, 0.7810], [0.5000, 0.5000, 0.5000]], "final_energy_ev_per_atom": -3.838, "space_group": "P-4m2 (115)", "volume_a3_per_atom": 16.62}

=====

{"formula": "Li2Sc2Al2AgAu", "functional": "PBE", "state": "relaxed", "lattice": [[-2.2723, 3.9541, 0.1221], [-1.3024, -0.8807, 4.2827], [5.2836, 2.9679, 2.2171]], "species": ["Ag", "Al", "Al", "Au", "Li", "Li", "Sc", "Sc"], "fractional_positions": [[0.0000, 0.0000, 0.0000], [0.0000, 0.5000, 0.2501], [0.5000, 0.0000, 0.7499], [0.5000, 0.5000, 0.5000], [0.5000, 0.5000, 0.0000], [0.0000, 0.0000, 0.5000], [0.5000, 0.0000, 0.2504], [0.0000, 0.5000, 0.7496]], "final_energy_ev_per_atom": -4.247, "space_group": "P-4m2 (115)", "volume_a3_per_atom": 16.79}